First-principles (PBE) data for crystalline ZrMoPb at its relaxed geometry, as listed in Alexandria via LeMat-Bulk.

Lattice parameters (Å, degrees): 3.615 3.615 9.462 90.00 90.00 90.00
Space group I4mm (No. 107)
Asymmetric unit:
Zr (0.000, 0.000, 0.000)
Mo (0.000, 0.000, 0.648)
Pb (0.000, 0.000, 0.316)

Summary:
E ... -7.586 eV per atom
Excess energy over the best structure of this formula in the dataset ... 0.000 eV per atom